DFT (PBE+U) results for a relaxed MnIn2O4 crystal.

## Properties
SG   Fd-3m, No. 227
M_tot   10.00 μB per cell
Crystal system   cubic
DFT total energy   -6.2893 eV/atom

a = 6.4857 Å, b = 6.4857 Å, c = 6.4857 Å
α = 60.00°, β = 60.00°, γ = 60.00°
Atoms (fractional coordinates):
Mn 0.1250 0.1250 0.1250
Mn 0.8750 0.8750 0.8750
In 0.0000 0.5000 0.5000
In 0.5000 0.0000 0.5000
In 0.5000 0.5000 0.0000
In 0.5000 0.5000 0.5000
O 0.2588 0.2588 0.2588
O 0.2588 0.2588 0.7236
O 0.2588 0.7236 0.2588
O 0.2764 0.7412 0.7412
O 0.7236 0.2588 0.2588
O 0.7412 0.2764 0.7412
O 0.7412 0.7412 0.2764
O 0.7412 0.7412 0.7412